[1]
Below is a geometry-optimized Al2IrCl structure, with properties calculated at the PBE level.

Summary:
E_tot: -20.02 eV for the cell shown
energy relative to the lowest polymorph listed for this composition: 311 meV/atom
Fermi-level density of states: 1.33 states/eV per cell
crystal system: tetragonal
raw formation energy: -0.458 eV/atom

CIF file:
```
data_Al2IrCl
_cell_length_a 4.734
_cell_length_b 4.734
_cell_length_c 2.845
_cell_angle_alpha 90.00
_cell_angle_beta 90.00
_cell_angle_gamma 90.00
_space_group_name_H-M_alt 'P 4 m m'
_space_group_IT_number 99
_space_group_name_Hall 'P 4 -2'
loop_
_atom_site_label
_atom_site_type_symbol
_atom_site_fract_x
_atom_site_fract_y
_atom_site_fract_z
Al1 Al 0.000 0.500 0.000
Ir1 Ir 0.000 0.000 0.483
Cl1 Cl 0.500 0.500 0.913
```

---

[2]
Below is a geometry-optimized Al2IrCl structure, with properties calculated at the PBE level.

Summary:
E_tot: -75.03 eV for the cell shown
energy relative to the lowest polymorph listed for this composition: 627 meV/atom
Fermi-level density of states: 0.77 states/eV per cell
crystal system: tetragonal
raw formation energy: -0.141 eV/atom

CIF file:
```
data_Al2IrCl
_cell_length_a 6.250
_cell_length_b 6.250
_cell_length_c 9.010
_cell_angle_alpha 90.00
_cell_angle_beta 90.00
_cell_angle_gamma 90.00
_space_group_name_H-M_alt 'I -4 2 d'
_space_group_IT_number 122
_space_group_name_Hall 'I -4 2bw'
loop_
_atom_site_label
_atom_site_type_symbol
_atom_site_fract_x
_atom_site_fract_y
_atom_site_fract_z
Al1 Al 0.219 0.250 0.125
Ir1 Ir 0.000 0.000 0.000
Cl1 Cl 0.000 0.000 0.500
```

---

[3]
Below is a geometry-optimized AlIr3Cl structure, with properties calculated at the PBE level.

Summary:
E_tot: -25.12 eV for the cell shown
energy relative to the lowest polymorph listed for this composition: 0 meV/atom
Fermi-level density of states: 4.95 states/eV per cell
crystal system: cubic
raw formation energy: 1.411 eV/atom

CIF file:
```
data_AlIr3Cl
_cell_length_a 4.431
_cell_length_b 4.431
_cell_length_c 4.431
_cell_angle_alpha 90.00
_cell_angle_beta 90.00
_cell_angle_gamma 90.00
_space_group_name_H-M_alt 'P m -3 m'
_space_group_IT_number 221
_space_group_name_Hall '-P 4 2 3'
loop_
_atom_site_label
_atom_site_type_symbol
_atom_site_fract_x
_atom_site_fract_y
_atom_site_fract_z
Al1 Al 0.000 0.000 0.000
Ir1 Ir 0.000 0.500 0.500
Cl1 Cl 0.500 0.500 0.500
```

---

[4]
Below is a geometry-optimized Al2IrCl structure, with properties calculated at the PBE level.

Summary:
E_tot: -56.82 eV for the cell shown
energy relative to the lowest polymorph listed for this composition: 582 meV/atom
Fermi-level density of states: 9.26 states/eV per cell
crystal system: trigonal
raw formation energy: -0.187 eV/atom

CIF file:
```
data_Al2IrCl
_cell_length_a 3.0625
_cell_length_b 3.0625
_cell_length_c 26.5808
_cell_angle_alpha 90.00
_cell_angle_beta 90.00
_cell_angle_gamma 120.00
_space_group_name_H-M_alt 'R 3 m'
_space_group_IT_number 160
_space_group_name_Hall 'R 3 -2"'
loop_
_atom_site_label
_atom_site_type_symbol
_atom_site_fract_x
_atom_site_fract_y
_atom_site_fract_z
Al1 Al 0.0000 0.0000 0.0000
Al2 Al 0.0000 0.0000 0.2543
Ir1 Ir 0.0000 0.0000 0.7306
Cl1 Cl 0.0000 0.0000 0.5241
```

---

[5]
Below is a geometry-optimized AlIr3Cl structure, with properties calculated at the PBE level.

Summary:
E_tot: -24.50 eV for the cell shown
energy relative to the lowest polymorph listed for this composition: 122 meV/atom
Fermi-level density of states: 6.05 states/eV per cell
crystal system: cubic
raw formation energy: 1.534 eV/atom

CIF file:
```
data_AlIr3Cl
_cell_length_a 4.604
_cell_length_b 4.604
_cell_length_c 4.604
_cell_angle_alpha 90.00
_cell_angle_beta 90.00
_cell_angle_gamma 90.00
_space_group_name_H-M_alt 'P m -3 m'
_space_group_IT_number 221
_space_group_name_Hall '-P 4 2 3'
loop_
_atom_site_label
_atom_site_type_symbol
_atom_site_fract_x
_atom_site_fract_y
_atom_site_fract_z
Al1 Al 0.000 0.000 0.000
Ir1 Ir 0.000 0.000 0.500
Cl1 Cl 0.500 0.500 0.500
```

---

[6]
Below is a geometry-optimized Al2IrCl structure, with properties calculated at the PBE level.

Summary:
E_tot: -36.95 eV for the cell shown
energy relative to the lowest polymorph listed for this composition: 698 meV/atom
Fermi-level density of states: 1.83 states/eV per cell
crystal system: orthorhombic
raw formation energy: -0.071 eV/atom

CIF file:
```
data_Al2IrCl
_cell_length_a 3.115
_cell_length_b 5.074
_cell_length_c 9.207
_cell_angle_alpha 90.00
_cell_angle_beta 90.00
_cell_angle_gamma 90.00
_space_group_name_H-M_alt 'C m m 2'
_space_group_IT_number 35
_space_group_name_Hall 'C 2 -2'
loop_
_atom_site_label
_atom_site_type_symbol
_atom_site_fract_x
_atom_site_fract_y
_atom_site_fract_z
Al1 Al 0.000 0.000 0.000
Al2 Al 0.000 0.500 0.234
Ir1 Ir 0.000 0.000 0.430
Cl1 Cl 0.000 0.500 0.809
```